Ba2HfVSi: optimized geometry, PBE.

Summary:
Mass density in g/cm3: 4.373

The structure in extended XYZ format:
```
5
Lattice="6.3222 0.0000 0.0000 0.0000 6.3222 0.0000 0.0000 0.0000 5.0562" Properties=species:S:1:pos:R:3 pbc="T T T"
Ba 0.0000 3.1611 0.0000
Ba 3.1611 0.0000 0.0000
Hf 0.0000 0.0000 0.0000
V 3.1611 3.1611 2.5281
Si 0.0000 0.0000 2.5281
```

***

Dy2Br2Cl: optimized geometry, PBE.

Summary:
Mass density in g/cm3: 5.200

The structure in extended XYZ format:
```
10
Lattice="10.5421 -1.9420 0.0000 10.5421 1.9420 0.0000 -1.2488 0.0000 8.1146" Properties=species:S:1:pos:R:3 pbc="T T T"
Dy 3.4412 0.0000 2.4634
Dy 6.5917 0.0000 0.7131
Dy 13.2437 0.0000 7.4015
Dy 16.3942 0.0000 5.6512
Br 0.9355 0.0000 6.2902
Br 7.6105 0.0000 6.7427
Br 12.2249 0.0000 1.3720
Br 18.8999 0.0000 1.8245
Cl 5.9534 0.0000 3.6177
Cl 13.8820 0.0000 4.4969
```

***

CdSiSb: optimized geometry, PBE.

Summary:
Energy above the most stable polymorph in this dataset in eV per formula unit: 0.12
Mass density in g/cm3: 6.362

The structure in extended XYZ format:
```
3
Lattice="5.0448 0.0000 0.0000 -2.5224 4.3690 0.0000 0.0000 0.0000 3.1056" Properties=species:S:1:pos:R:3 pbc="T T T"
Cd 0.0000 0.0000 0.0000
Si 0.0000 2.9126 1.5517
Sb 2.5224 1.4563 1.5425
```

***

Li3SbN2: optimized geometry, PBE.

Summary:
Mass density in g/cm3: 2.582

The structure in extended XYZ format:
```
24
Lattice="-3.4895 3.4895 9.0118 3.4895 -3.4895 9.0118 3.4895 3.4895 -9.0118" Properties=species:S:1:pos:R:3 pbc="T T T"
Li 1.9321 0.1873 2.2530
Li 5.0469 0.1873 2.2530
Li 3.4895 1.7447 0.5407
Li 1.9321 3.6768 -2.2530
Li 1.5574 0.1873 6.7589
Li 3.4895 1.7447 3.9652
Li 0.0000 1.7447 5.0466
Li 1.9321 3.3022 2.2530
Li 1.5574 -0.1873 11.2648
Li 0.0000 1.7447 8.4712
Li -1.5574 3.3022 6.7589
Li 1.5574 3.3022 6.7589
Sb 3.4895 1.7447 -4.4763
Sb 0.0000 1.7447 0.0296
Sb 3.4895 1.7447 8.9823
Sb 0.0000 1.7447 13.4882
N 3.4895 -0.1171 3.3701
N 3.4895 3.3724 -3.3701
N 1.6277 1.7447 1.1358
N 1.8618 -1.7447 10.1477
N 1.6277 5.2342 -1.1358
N 1.8618 1.7447 7.8760
N 0.0000 0.1171 12.3819
N 0.0000 3.6066 5.6418
```

***

One value per record, in order, for formation energy from raw total energies: 1159, -1510, 418, -76 meV/atom.